# 1
! Sc4SnGeO PBE optimized geometry; values from VASP
&SYSTEM
  ibrav = 0, nat = 14, ntyp = 4
/
ATOMIC_SPECIES
Sc 44.96 Sc.upf
Sn 118.71 Sn.upf
Ge 72.64 Ge.upf
O 16.00 O.upf
CELL_PARAMETERS angstrom
2.9926 -7.6089 0.0000
2.9926 7.6089 0.0000
0.0000 0.0000 5.9949
ATOMIC_POSITIONS crystal
Sc 0.0000 0.5000 0.0000
Sc 0.0000 0.5000 0.5000
Sc 0.0734 0.9266 0.7500
Sc 0.4135 0.5865 0.7500
Sc 0.5000 0.0000 0.0000
Sc 0.5000 0.0000 0.5000
Sc 0.5865 0.4135 0.2500
Sc 0.9266 0.0734 0.2500
Sn 0.3944 0.6056 0.2500
Sn 0.6056 0.3944 0.7500
Ge 0.1140 0.8860 0.2500
Ge 0.8860 0.1140 0.7500
O 0.2535 0.7465 0.7500
O 0.7465 0.2535 0.2500
! DOS(E_F), states/eV/atom: 0.886
! Volume, Å³ per cell: 273.0
! Total magnetic moment, Bohr magnetons per cell: 2.06
! Raw formation energy, meV per atom: -1328

# 2
! SrCrRe2 PBE optimized geometry; values from VASP
&SYSTEM
  ibrav = 0, nat = 4, ntyp = 3
/
ATOMIC_SPECIES
Sr 87.62 Sr.upf
Cr 52.00 Cr.upf
Re 186.21 Re.upf
CELL_PARAMETERS angstrom
3.8645 0.0000 0.0000
0.0000 3.8645 0.0000
0.0000 0.0000 4.9739
ATOMIC_POSITIONS crystal
Sr 0.0000 0.0000 0.0000
Cr 0.5000 0.5000 0.0000
Re 0.0000 0.5000 0.5000
Re 0.5000 0.0000 0.5000
! DOS(E_F), states/eV/atom: 0.820
! Volume, Å³ per cell: 74.3
! Total magnetic moment, Bohr magnetons per cell: 3.78
! DFT formation energy, eV per atom: 1.2320

# 3
! LuMgGaRu PBE optimized geometry; values from VASP
&SYSTEM
  ibrav = 0, nat = 4, ntyp = 4
/
ATOMIC_SPECIES
Lu 174.97 Lu.upf
Mg 24.30 Mg.upf
Ga 69.72 Ga.upf
Ru 101.07 Ru.upf
CELL_PARAMETERS angstrom
0.0000 3.3100 3.3100
3.3100 0.0000 3.3100
3.3100 3.3100 0.0000
ATOMIC_POSITIONS crystal
Lu 0.0000 0.0000 0.0000
Mg 0.5000 0.5000 0.5000
Ga 0.7500 0.7500 0.7500
Ru 0.2500 0.2500 0.2500
! DOS(E_F), states/eV/atom: 0.690
! Volume, Å³ per cell: 72.5
! Total magnetic moment, Bohr magnetons per cell: 0.00
! DFT formation energy, eV per atom: -0.2603

> DOS(E_F) of number 1 (Sc4SnGeO)?

0.886 states/eV/atom